DFT (GGA-PBE) results for crystalline CaLaTcO6 at its relaxed geometry.

Output
Crystal system: trigonal
Formation energy from raw total energies, eV per atom: -2.2724

Cell and atoms, written as POSCAR:
```
CaLaTcO6
1.0
5.554 0.000 0.000
2.777 4.810 0.000
0.000 0.000 5.015
Ca La Tc O
1 1 1 6
Direct
0.667 0.667 0.500
0.000 0.000 0.000
0.333 0.333 0.500
0.054 0.328 0.283
0.328 0.054 0.717
0.618 0.328 0.717
0.054 0.618 0.717
0.328 0.618 0.283
0.618 0.054 0.283
```